A geometry-optimized ZrPtS2N structure, computed with PBE.

Lattice parameters (Å, degrees): 4.9042 4.9042 3.6882 90.00 90.00 90.00
Last column: nearest neighbours and their distance in Å.
Fractional positions:
Zr 0.0000 0.0000 0.0000  8 S 3.07
Pt 0.5000 0.5000 0.5000  2 N 1.84
S 0.0000 0.5000 0.5000  2 Pt 2.45
S 0.5000 0.0000 0.5000  2 Pt 2.45
N 0.5000 0.5000 0.0000  2 Pt 1.84

Summary:
The formation energy (no corrections) comes out at 0.244 eV/atom. Its polymorph energy (0 for the lowest one) is 0.00 eV per formula unit.

=====

A geometry-optimized Pm4PrNd2Ho2 structure, computed with PBE.

Lattice parameters (Å, degrees): 8.1374 8.1374 8.1171 107.58 107.58 36.87
Last column: nearest neighbours and their distance in Å.
Fractional positions:
Pm 0.0556 0.0556 0.3320  2 Pr 3.63, 2 Ho 3.64, 4 Pm 3.64-3.66, 4 Nd 3.64-3.65
Pm 0.2779 0.2779 0.6693  3 Ho 3.60-3.62, 1 Pr 3.62, 3 Nd 3.63-3.65, 5 Pm 3.64-3.66
Pm 0.7221 0.7221 0.3307  3 Ho 3.60-3.62, 1 Pr 3.62, 3 Nd 3.63-3.65, 5 Pm 3.64-3.66
Pm 0.9444 0.9444 0.6680  2 Pr 3.63, 2 Ho 3.64, 4 Pm 3.64-3.66, 4 Nd 3.64-3.65
Pr 0.5000 0.5000 0.0000  6 Pm 3.62-3.63, 2 Nd 3.64, 4 Ho 3.65
Nd 0.3882 0.3882 0.3327  3 Ho 3.61-3.63, 7 Pm 3.63-3.65, 1 Pr 3.64, 1 Nd 3.65
Nd 0.6118 0.6118 0.6673  3 Ho 3.61-3.63, 7 Pm 3.63-3.65, 1 Pr 3.64, 1 Nd 3.65
Ho 0.1679 0.1679 0.9995  5 Pm 3.60-3.64, 3 Nd 3.61-3.63, 2 Ho 3.61, 2 Pr 3.65
Ho 0.8321 0.8321 0.0005  5 Pm 3.60-3.64, 3 Nd 3.61-3.63, 2 Ho 3.61, 2 Pr 3.65

Summary:
The formation energy comes out at 0.017 eV per atom.

=====

A geometry-optimized YMg4Cu structure, computed with PBE.

Lattice parameters (Å, degrees): 8.5204 4.2439 7.3629 90.00 90.00 90.00
Last column: nearest neighbours and their distance in Å.
Fractional positions:
Y 0.2500 0.0000 0.0990  1 Cu 2.90
Y 0.7500 0.0000 0.9010  1 Cu 2.90
Mg 0.0000 0.0000 0.5000  2 Cu 2.61
Mg 0.0614 0.5000 0.8070  2 Cu 2.76, 1 Mg 3.03
Mg 0.2500 0.5000 0.4446  2 Cu 2.86, 6 Mg 3.03-3.12
Mg 0.4386 0.5000 0.8070  2 Cu 2.76, 1 Mg 3.03
Mg 0.5000 0.0000 0.5000  2 Cu 2.61
Mg 0.5614 0.5000 0.1930  2 Cu 2.76, 1 Mg 3.03
Mg 0.7500 0.5000 0.5554  2 Cu 2.86, 6 Mg 3.03-3.12
Mg 0.9386 0.5000 0.1930  2 Cu 2.76, 1 Mg 3.03
Cu 0.2500 0.0000 0.7056  8 Mg 2.61-2.86, 1 Y 2.90
Cu 0.7500 0.0000 0.2944  8 Mg 2.61-2.86, 1 Y 2.90

Summary:
The formation energy comes out at -0.116 eV per atom. Its polymorph energy (0 for the lowest one) is 0.12 eV per formula unit.

=====

A geometry-optimized BePb2F structure, computed with PBE.

Lattice parameters (Å, degrees): 7.5838 7.5838 7.5838 137.64 137.64 61.45
Last column: nearest neighbours and their distance in Å.
Fractional positions:
Be 0.0000 0.0000 0.0000  4 Pb 2.51
Be 0.7500 0.2500 0.5000  4 Pb 2.51
Pb 0.1163 0.6250 0.9913  2 Be 2.51, 2 F 2.56
Pb 0.3750 0.3663 0.4913  2 Be 2.51, 2 F 2.56
Pb 0.6337 0.1250 0.0087  2 Be 2.51, 2 F 2.56
Pb 0.8750 0.8837 0.5087  2 Be 2.51, 2 F 2.56
F 0.2500 0.7500 0.5000  4 Pb 2.56
F 0.5000 0.5000 0.0000  4 Pb 2.56

Summary:
The formation energy (no corrections) comes out at -0.248 eV/atom. Its polymorph energy (0 for the lowest one) is 0.17 eV per formula unit.

=====

A geometry-optimized FeCu2Mo structure, computed with PBE.

Lattice parameters (Å, degrees): 2.5403 3.9904 5.0812 90.00 90.00 90.00
Last column: nearest neighbours and their distance in Å.
Fractional positions:
Fe 0.0000 0.0000 0.0000  2 Fe 2.54, 2 Mo 2.54, 8 Cu 2.67
Cu 0.5000 0.5000 0.2422  4 Cu 2.46-2.62, 4 Fe 2.67, 4 Mo 2.70
Cu 0.5000 0.5000 0.7578  4 Cu 2.46-2.62, 4 Fe 2.67, 4 Mo 2.70
Mo 0.0000 0.0000 0.5000  2 Mo 2.54, 2 Fe 2.54, 8 Cu 2.70

Summary:
The formation energy comes out at 0.254 eV per atom. Its polymorph energy (0 for the lowest one) is 0.40 eV per formula unit.

=====

A geometry-optimized Pr3Nd structure, computed with PBE.

Lattice parameters (Å, degrees): 6.4421 6.4421 6.4421 132.12 132.12 70.04
Last column: nearest neighbours and their distance in Å.
Fractional positions:
Pr 0.0000 0.0000 0.0000  4 Nd 3.70, 8 Pr 3.71
Pr 0.2500 0.7500 0.5000  8 Pr 3.70-3.71, 4 Nd 3.71
Pr 0.7500 0.2500 0.5000  8 Pr 3.70-3.71, 4 Nd 3.71
Nd 0.5000 0.5000 0.0000  12 Pr 3.70-3.71

Summary:
The formation energy comes out at 0.011 eV per atom. Its polymorph energy (0 for the lowest one) is 0.00 eV per formula unit.

=====

A geometry-optimized BaGaIrO6 structure, computed with PBE.

Lattice parameters (Å, degrees): 5.2688 5.2688 5.7640 90.00 90.00 120.00
Last column: nearest neighbours and their distance in Å.
Fractional positions:
Ba 0.0000 0.0000 0.0000  6 O 2.72
Ga 0.3333 0.6667 0.5000  6 O 2.00
Ir 0.6667 0.3333 0.5000  6 O 1.92
O 0.3959 0.0115 0.6907  1 Ir 1.92, 1 Ga 2.00
O 0.3959 0.3845 0.3093  1 Ir 1.92, 1 Ga 2.00
O 0.6155 0.0115 0.3093  1 Ir 1.92, 1 Ga 2.00
O 0.6155 0.6041 0.6907  1 Ir 1.92, 1 Ga 2.00
O 0.9885 0.3845 0.6907  1 Ir 1.92, 1 Ga 2.00
O 0.9885 0.6041 0.3093  1 Ir 1.92, 1 Ga 2.00

Summary:
The formation energy (no corrections) comes out at -1.438 eV/atom.

=====

A geometry-optimized CsNa2InPb structure, computed with PBE.

Lattice parameters (Å, degrees): 6.0879 6.0879 5.9379 90.00 90.00 90.00
Last column: nearest neighbours and their distance in Å.
Fractional positions:
Cs 0.0000 0.0000 0.0000  8 Na 4.25, 4 Pb 4.30
Na 0.0000 0.5000 0.5000  2 In 3.04
Na 0.5000 0.0000 0.5000  2 In 3.04
In 0.5000 0.5000 0.5000  2 Pb 2.97, 4 Na 3.04
Pb 0.5000 0.5000 0.0000  2 In 2.97

Summary:
The formation energy comes out at -0.008 eV per atom. Its polymorph energy (0 for the lowest one) is 0.11 eV per formula unit.

=====

A geometry-optimized BeAuBr2 structure, computed with PBE.

Lattice parameters (Å, degrees): 5.2398 3.3114 6.6213 90.00 103.19 90.00
Last column: nearest neighbours and their distance in Å.
Fractional positions:
Be 0.0000 0.0000 0.0000  3 Br 2.18-2.24
Au 0.7036 0.5000 0.1145  2 Be 2.50
Br 0.0205 0.5000 0.7755  2 Be 2.24
Br 0.3393 0.0000 0.2604  1 Be 2.18

Summary:
The formation energy (no corrections) comes out at -0.274 eV/atom. Its polymorph energy (0 for the lowest one) is 0.00 eV per formula unit.

=====

A geometry-optimized K3GaCl6 structure, computed with PBE.

Lattice parameters (Å, degrees): 7.3157 7.6775 12.7637 90.00 124.94 90.00
Last column: nearest neighbours and their distance in Å.
Fractional positions:
K 0.0000 0.0000 0.0000  6 Cl 3.09-3.14
K 0.0000 0.5000 0.5000  6 Cl 3.09-3.14
K 0.2246 0.0698 0.7488  6 Cl 3.17-3.39
K 0.2246 0.4302 0.2488  6 Cl 3.17-3.39
K 0.7754 0.5698 0.7512  6 Cl 3.17-3.39
K 0.7754 0.9302 0.2512  6 Cl 3.17-3.39
Ga 0.5000 0.0000 0.5000  6 Cl 2.40-2.43
Ga 0.5000 0.5000 0.0000  6 Cl 2.40-2.43
Cl 0.1847 0.1712 0.4504  1 Ga 2.40
Cl 0.1847 0.3288 0.9504  1 Ga 2.40
Cl 0.2753 0.7374 0.4370  1 Ga 2.43
Cl 0.2753 0.7626 0.9370  1 Ga 2.43
Cl 0.3932 0.0382 0.2849  1 Ga 2.40
Cl 0.3932 0.4618 0.7849  1 Ga 2.40
Cl 0.6068 0.5382 0.2151  1 Ga 2.40
Cl 0.6068 0.9618 0.7151  1 Ga 2.40
Cl 0.7247 0.2374 0.0630  1 Ga 2.43
Cl 0.7247 0.2626 0.5630  1 Ga 2.43
Cl 0.8153 0.6712 0.0496  1 Ga 2.40
Cl 0.8153 0.8288 0.5496  1 Ga 2.40

Summary:
The formation energy (no corrections) comes out at -1.618 eV/atom. Its polymorph energy (0 for the lowest one) is 0.11 eV per formula unit.

=====

A geometry-optimized CoOsAu structure, computed with PBE.

Lattice parameters (Å, degrees): 4.3175 4.3175 2.7064 90.00 90.00 120.00
Last column: nearest neighbours and their distance in Å.
Fractional positions:
Co 0.0000 0.0000 0.0000  3 Os 2.49, 2 Co 2.71
Os 0.6667 0.3333 0.0000  3 Co 2.49, 2 Os 2.71
Au 0.3333 0.6667 0.5000  2 Au 2.71, 6 Co 2.84, 6 Os 2.84

Summary:
The formation energy comes out at 0.655 eV per atom. Its polymorph energy (0 for the lowest one) is 0.93 eV per formula unit.

=====

A geometry-optimized Be2FeHg structure, computed with PBE.

Lattice parameters (Å, degrees): 2.8828 2.8964 5.6419 90.00 90.10 90.00
Last column: nearest neighbours and their distance in Å.
Fractional positions:
Be 0.0007 0.0000 0.1797  1 Be 2.03
Be 0.9993 0.0000 0.8203  1 Be 2.03
Fe 0.5000 0.5000 0.0000  8 Be 2.28
Hg 0.5000 0.5000 0.5000  8 Be 2.72-2.73, 2 Fe 2.82, 4 Hg 2.88-2.90

Summary:
The formation energy comes out at 0.161 eV per atom.

=====

Number 1: calculated total energy -0.2201 Ha/atom, theoretical density 6.82 g/cm3. Number 2: calculated total energy -0.1728 Ha/atom, theoretical density 7.27 g/cm3. Number 3: calculated total energy -0.1080 Ha/atom, theoretical density 3.11 g/cm3. Number 4: calculated total energy -0.1287 Ha/atom, theoretical density 7.51 g/cm3. Number 5: calculated total energy -0.2432 Ha/atom, theoretical density 8.99 g/cm3. Number 6: calculated total energy -0.1751 Ha/atom, theoretical density 6.53 g/cm3. Number 7: calculated total energy -0.2307 Ha/atom, theoretical density 5.93 g/cm3. Number 8: calculated total energy -0.0734 Ha/atom, theoretical density 3.78 g/cm3. Number 9: calculated total energy -0.1051 Ha/atom, theoretical density 5.43 g/cm3. Number 10: calculated total energy -0.1234 Ha/atom, theoretical density 2.26 g/cm3. Number 11: calculated total energy -0.2407 Ha/atom, theoretical density 16.96 g/cm3. Number 12: calculated total energy -0.1431 Ha/atom, theoretical density 9.67 g/cm3.